[1]
First-principles (PBE) data for a relaxed LiScFe2C crystal, as listed in the Alexandria database.

```
5
Lattice="3.791 0.000 0.000 0.000 3.791 0.000 0.000 0.000 4.010" Properties=species:S:1:pos:R:3 pbc="T T T"
Sc 1.895 1.895 2.005
C 0.000 0.000 0.000
Fe 0.000 1.895 0.000
Fe 1.895 0.000 0.000
Li 0.000 0.000 2.005
```

uncorrected energy	-6.949	eV per atom
formation enthalpy at 0 K	-6.8	kJ per mole of atoms
volume	11.52	Å³/atom
size of the total moment	0.851	μB per cell

---

[2]
First-principles (PBE) data for a relaxed YFeNiB2 crystal, as listed in the Alexandria database.

```
5
Lattice="-2.928 -3.397 0.139 1.958 -1.843 -3.800 2.828 -2.332 2.588" Properties=species:S:1:pos:R:3 pbc="T T T"
Y 0.000 0.000 0.000
Ni 0.979 -0.921 -1.900
B 1.414 -1.166 1.294
B -1.464 -1.699 0.069
Fe 0.929 -3.786 -0.537
```

ΔE to the lowest computed polymorph	2421	meV/atom
uncorrected energy	-4.290	eV per atom
formation enthalpy at 0 K	243.4	kJ per mole of atoms
volume	18.74	Å³/atom
size of the total moment	0.023	μB per cell

---

[3]
First-principles (PBE) data for a relaxed LiPmMgPd crystal, as listed in the Alexandria database.

```
4
Lattice="-3.717 -2.060 -2.447 0.119 -4.785 -1.067 -3.028 -3.100 2.295" Properties=species:S:1:pos:R:3 pbc="T T T"
Mg -1.656 -2.486 -0.305
Li 0.000 0.000 0.000
Pd -3.313 -4.972 -0.610
Pm -4.969 -7.459 -0.914
```

uncorrected energy	-3.765	eV per atom
formation enthalpy at 0 K	-38.8	kJ per mole of atoms
volume	20.84	Å³/atom
size of the total moment	0.000	μB per cell

---

[4]
First-principles (PBE) data for a relaxed LiPm2PrS5 crystal, as listed in the Alexandria database.

```
18
Lattice="-0.055 -3.599 -1.784 8.142 0.832 2.595 -2.816 -5.158 10.491" Properties=species:S:1:pos:R:3 pbc="T T T"
Li -2.615 -6.901 9.478
Li 6.563 -3.446 6.749
Pm 3.897 -6.640 8.751
Pm -0.154 -3.737 7.543
Pm 1.114 -1.759 3.513
Pm 5.798 -3.503 2.365
Pr 3.498 -4.960 5.374
Pr 0.372 -5.531 11.146
S 5.925 -0.707 1.244
S 0.728 -6.469 8.504
S -2.207 -5.860 7.365
S 2.847 -3.998 7.977
S 5.780 -5.651 6.699
S 0.753 -4.640 4.813
S 4.071 -2.318 4.551
S 7.272 -2.441 4.700
S 2.897 -3.060 1.560
S 0.476 -0.469 0.931
```

uncorrected energy	-5.959	eV per atom
energy relative to the elements, uncorrected	-1867	meV/atom
volume	22.40	Å³/atom
size of the total moment	0.000	μB per cell

---

[5]
First-principles (PBE) data for a relaxed KInAg2I6 crystal, as listed in the Alexandria database.

```
10
Lattice="7.800 0.006 0.008 3.905 6.750 0.004 3.908 2.252 7.249" Properties=species:S:1:pos:R:3 pbc="T T T"
K 11.707 6.758 4.077
In 3.902 2.251 0.088
Ag 7.803 4.502 3.346
Ag 11.705 6.758 0.134
I 6.455 2.308 1.670
I 6.582 6.762 1.672
I 10.376 4.433 1.680
I 8.605 6.688 5.508
I 9.301 2.730 5.500
I 5.528 4.103 5.496
```

uncorrected energy	-2.409	eV per atom
energy relative to the elements, uncorrected	-525	meV/atom
volume	38.14	Å³/atom
size of the total moment	0.000	μB per cell

---

[6]
First-principles (PBE) data for a relaxed Li2PmGeAu4 crystal, as listed in the Alexandria database.

```
8
Lattice="4.520 0.000 0.000 2.260 3.914 0.000 2.260 1.305 8.715" Properties=species:S:1:pos:R:3 pbc="T T T"
Li 6.780 3.914 6.186
Li 2.260 1.305 2.529
Pm 0.000 0.000 0.000
Ge 4.520 2.610 4.358
Au 4.520 2.610 7.077
Au 6.780 3.914 3.285
Au 2.260 1.305 5.430
Au 4.520 2.610 1.639
```

uncorrected energy	-3.803	eV per atom
formation enthalpy at 0 K	-49.7	kJ per mole of atoms
volume	19.27	Å³/atom
size of the total moment	0.000	μB per cell

---

Among the records above, which one has the highest volume? KInAg2I6